The following is a PBE calculation of crystalline InSnHgBi at its relaxed geometry, from Alexandria.

Cell lengths 4.006, 4.006, 8.439 Å; angles 103.73, 103.73, 90.00 degrees
Fractional coordinates of all 4 atoms:
Hg: 0.162 0.162 0.323
In: 0.567 0.567 0.134
Bi: 0.936 0.936 0.871
Sn: 0.348 0.348 0.695

Calculated values
Energy above the most stable polymorph in this dataset ... 0.023 eV per atom
Volume ... 31.886 Å³/atom
Final energy ... -2.645 eV per atom
ρ ... 8.373 g/cm³
Formation enthalpy at 0 K ... 0.3 eV/f.u.
SG ... I4mm (107)
Spin magnetization ... 0.00 μB per formula unit

The following is a PBE calculation of crystalline In7Sn2Hg2Bi at its relaxed geometry, from Alexandria.

Cell lengths 5.338, 5.343, 12.180 Å; angles 102.94, 102.66, 90.00 degrees
Fractional coordinates of all 12 atoms:
In: 0.589 0.084 0.177
Sn: 0.750 0.233 0.500
In: 0.911 0.407 0.823
Hg: 0.666 0.658 0.332
In: 0.089 0.592 0.177
In: 0.411 0.915 0.823
In: 0.171 0.181 0.343
Sn: 0.250 0.767 0.500
Hg: 0.334 0.342 0.668
In: 0.829 0.819 0.657
Bi: 0.000 0.000 0.000
In: 0.500 0.500 0.000

Calculated values
Volume ... 27.493 Å³/atom
Final energy ... -2.601 eV per atom
ρ ... 8.312 g/cm³
Formation enthalpy at 0 K ... 0.4 eV/f.u.
SG ... C2/m (12)
Spin magnetization ... 0.00 μB per formula unit

The following is a PBE calculation of crystalline SrIn2Hg2Bi2 at its relaxed geometry, from Alexandria.

Cell lengths 5.432, 5.432, 9.373 Å; angles 73.15, 73.15, 60.00 degrees
Fractional coordinates of all 7 atoms:
In: 0.870 0.870 0.390
In: 0.130 0.130 0.610
Bi: 0.248 0.248 0.257
Bi: 0.752 0.752 0.743
Hg: 0.387 0.387 0.839
Hg: 0.613 0.613 0.161
Sr: 0.000 0.000 0.000

Calculated values
Volume ... 32.249 Å³/atom
Final energy ... -2.433 eV per atom
ρ ... 8.359 g/cm³
Formation enthalpy at 0 K ... -1.5 eV/f.u.
SG ... R-3m (166)
Spin magnetization ... 0.00 μB per formula unit

The following is a PBE calculation of crystalline SrInHgBi at its relaxed geometry, from Alexandria.

Cell lengths 4.606, 4.989, 5.246 Å; angles 90.00, 90.00, 90.00 degrees
Fractional coordinates of all 4 atoms:
In: 0.000 0.000 0.000
Bi: 0.500 0.000 0.500
Hg: 0.500 0.500 0.000
Sr: 0.000 0.500 0.500

Calculated values
Energy above the most stable polymorph in this dataset ... 0.000 eV per atom
Volume ... 30.140 Å³/atom
Final energy ... -2.573 eV per atom
ρ ... 8.430 g/cm³
Formation enthalpy at 0 K ... -1.7 eV/f.u.
SG ... Pmmm (47)
Spin magnetization ... 0.00 μB per formula unit

The following is a PBE calculation of crystalline SrInHgBi at its relaxed geometry, from Alexandria.

Cell lengths 5.656, 5.656, 5.656 Å; angles 60.00, 60.00, 60.00 degrees
Fractional coordinates of all 4 atoms:
Bi: 0.750 0.750 0.750
Sr: 0.500 0.500 0.500
In: 0.000 0.000 0.000
Hg: 0.250 0.250 0.250

Calculated values
Energy above the most stable polymorph in this dataset ... 0.020 eV per atom
Volume ... 31.987 Å³/atom
Final energy ... -2.553 eV per atom
ρ ... 7.943 g/cm³
Formation enthalpy at 0 K ... -1.6 eV/f.u.
SG ... F-43m (216)
Spin magnetization ... 0.00 μB per formula unit

The following is a PBE calculation of crystalline Ta2InHgBi at its relaxed geometry, from Alexandria.

Cell lengths 5.292, 5.530, 5.292 Å; angles 90.00, 90.00, 90.00 degrees
Fractional coordinates of all 5 atoms:
Hg: 0.000 0.500 0.000
Bi: 0.000 0.000 0.000
Ta: 0.000 0.000 0.500
Ta: 0.500 0.000 0.000
In: 0.500 0.500 0.500

Calculated values
Volume ... 30.970 Å³/atom
Final energy ... -4.268 eV per atom
ρ ... 9.504 g/cm³
Formation enthalpy at 0 K ... 9.3 eV/f.u.
SG ... P4/mmm (123)
Spin magnetization ... 1.66 μB per formula unit

The following is a PBE calculation of crystalline In4HgBiTe2 at its relaxed geometry, from Alexandria.

Cell lengths 4.460, 7.388, 7.954 Å; angles 108.56, 90.00, 90.00 degrees
Fractional coordinates of all 8 atoms:
Te: 0.500 0.000 0.500
In: 0.000 0.251 0.746
Hg: 0.500 0.500 0.000
In: 0.000 0.749 0.254
Bi: 0.000 0.000 0.000
In: 0.500 0.750 0.751
In: 0.500 0.250 0.249
Te: 0.000 0.500 0.500

Calculated values
Volume ... 31.060 Å³/atom
Energy relative to the elements, uncorrected ... -126 meV/atom
Final energy ... -2.804 eV per atom
ρ ... 7.512 g/cm³
SG ... P2/m (10)
Spin magnetization ... 0.00 μB per formula unit

The following is a PBE calculation of crystalline ThInHgBi at its relaxed geometry, from Alexandria.

Cell lengths 4.661, 4.690, 5.062 Å; angles 90.00, 90.00, 90.00 degrees
Fractional coordinates of all 4 atoms:
Hg: 0.500 0.000 0.500
Bi: 0.500 0.500 0.000
In: 0.000 0.500 0.500
Th: 0.000 0.000 0.000

Calculated values
Energy above the most stable polymorph in this dataset ... 0.000 eV per atom
Volume ... 27.663 Å³/atom
Final energy ... -3.924 eV per atom
ρ ... 11.352 g/cm³
Formation enthalpy at 0 K ... -1.4 eV/f.u.
SG ... Pmmm (47)
Spin magnetization ... 0.00 μB per formula unit

The following is a PBE calculation of crystalline ThInHgBi at its relaxed geometry, from Alexandria.

Cell lengths 5.447, 5.447, 5.447 Å; angles 60.00, 60.00, 60.00 degrees
Fractional coordinates of all 4 atoms:
Bi: 0.250 0.250 0.250
Th: 0.000 0.000 0.000
In: 0.500 0.500 0.500
Hg: 0.750 0.750 0.750

Calculated values
Energy above the most stable polymorph in this dataset ... 0.187 eV per atom
Volume ... 28.572 Å³/atom
Final energy ... -3.737 eV per atom
ρ ... 10.990 g/cm³
Formation enthalpy at 0 K ... -0.6 eV/f.u.
SG ... F-43m (216)
Spin magnetization ... 0.00 μB per formula unit

The following is a PBE calculation of crystalline TlIn5HgBi2 at its relaxed geometry, from Alexandria.

Cell lengths 4.525, 9.419, 13.348 Å; angles 90.00, 90.00, 103.90 degrees
Fractional coordinates of all 18 atoms:
Hg: 0.177 0.353 0.006
Bi: 0.821 0.643 0.172
In: 0.559 0.118 0.718
Hg: 0.823 0.647 0.506
In: 0.339 0.679 0.996
Bi: 0.896 0.792 0.840
Tl: 0.527 0.054 0.947
In: 0.280 0.561 0.347
Tl: 0.473 0.946 0.447
In: 0.970 0.941 0.619
Bi: 0.104 0.208 0.340
In: 0.030 0.059 0.119
In: 0.653 0.306 0.180
In: 0.347 0.694 0.680
Bi: 0.179 0.357 0.672
In: 0.720 0.439 0.847
In: 0.441 0.882 0.218
In: 0.661 0.321 0.496

Calculated values
Volume ... 30.683 Å³/atom
Final energy ... -2.644 eV per atom
ρ ... 8.401 g/cm³
Formation enthalpy at 0 K ... 0.3 eV/f.u.
SG ... Cmc2_1 (36)
Spin magnetization ... 0.00 μB per formula unit

The following is a PBE calculation of crystalline Tl4In2Hg2Bi at its relaxed geometry, from Alexandria.

Cell lengths 6.286, 9.909, 6.965 Å; angles 141.78, 93.51, 92.14 degrees
Fractional coordinates of all 9 atoms:
Tl: 0.339 0.303 0.655
In: 0.901 0.548 0.766
Hg: 0.806 0.139 0.588
Tl: 0.538 0.222 0.092
In: 0.099 0.452 0.234
Hg: 0.194 0.861 0.412
Tl: 0.661 0.697 0.345
Tl: 0.462 0.778 0.908
Bi: 0.000 0.000 0.000

Calculated values
Volume ... 29.478 Å³/atom
Final energy ... -2.144 eV per atom
ρ ... 10.373 g/cm³
Formation enthalpy at 0 K ... 0.1 eV/f.u.
SG ... P-1 (2)
Spin magnetization ... 0.00 μB per formula unit

The following is a PBE calculation of crystalline Tl2In2HgBi2 at its relaxed geometry, from Alexandria.

Cell lengths 5.367, 5.571, 10.522 Å; angles 55.82, 90.00, 118.80 degrees
Fractional coordinates of all 7 atoms:
Tl: 0.279 0.559 0.084
Hg: 0.000 0.000 0.500
Tl: 0.721 0.441 0.916
In: 0.428 0.857 0.363
In: 0.572 0.143 0.637
Bi: 0.845 0.690 0.239
Bi: 0.155 0.310 0.761

Calculated values
Volume ... 30.229 Å³/atom
Final energy ... -2.622 eV per atom
ρ ... 9.864 g/cm³
Formation enthalpy at 0 K ... -0.1 eV/f.u.
SG ... C2/m (12)
Spin magnetization ... 0.00 μB per formula unit

What is the formula in the eleventh record? Tl4In2Hg2Bi

Which of these has the lowest ρ? In4HgBiTe2

Look up the ρ of the first one. 8.373 g/cm³

Among the records above, which one has the lowest final energy? Ta2InHgBi